## LiInCo2 (PBE)

Data for a relaxed structure of LiInCo2.

a = 4.9261 Å, b = 4.9261 Å, c = 4.3165 Å
α = 114.98°, β = 114.98°, γ = 37.52°
Element x y z (fractional)
Li: 0.0000 0.0000 0.0000
In: 0.2269 0.2269 0.7265
Co: 0.4610 0.4610 0.4583
Co: 0.7599 0.7599 0.2590

Results
Total magnetic moment (μB per cell): 2.99
DOS at the Fermi energy (states/eV per cell): 3.6
Formation energy from the elements (eV/f.u.): 0.5

---

## Al4Ag3 (PBE)

Data for a relaxed structure of Al4Ag3.

a = 4.9731 Å, b = 4.9731 Å, c = 4.9731 Å
α = 98.23°, β = 98.23°, γ = 98.23°
Element x y z (fractional)
Al: 0.0000 0.0000 0.0000
Al: 0.1470 0.5720 0.2916
Al: 0.2916 0.1470 0.5720
Al: 0.5720 0.2916 0.1470
Ag: 0.4169 0.7231 0.8560
Ag: 0.7231 0.8560 0.4169
Ag: 0.8560 0.4169 0.7231

Results
Total magnetic moment (μB per cell): 0.00
Distance to the lowest polymorph of the same formula (meV/atom): 58
DOS at the Fermi energy (states/eV per cell): 3.0
Formation energy from the elements (eV/f.u.): 0.1

---

## FePBr2 (PBE)

Data for a relaxed structure of FePBr2.

a = 4.6991 Å, b = 4.6991 Å, c = 4.0274 Å
α = 90.00°, β = 90.00°, γ = 94.93°
Element x y z (fractional)
Fe: 0.0000 0.0000 0.0000
P: 0.5000 0.5000 0.0000
Br: 0.2304 0.7696 0.5000
Br: 0.7696 0.2304 0.5000

Results
Formation energy without anion corrections (eV/atom): 0.62
Total magnetic moment (μB per cell): 3.16
Distance to the lowest polymorph of the same formula (meV/atom): 671
DOS at the Fermi energy (states/eV per cell): 3.2

---

## TaSb4Te (PBE)

Data for a relaxed structure of TaSb4Te.

a = 6.1161 Å, b = 6.1161 Å, c = 6.1161 Å
α = 60.00°, β = 60.00°, γ = 60.00°
Element x y z (fractional)
Ta: 0.0000 0.0000 0.0000
Sb: 0.3748 0.3748 0.3748
Sb: 0.3748 0.3748 0.8757
Sb: 0.3748 0.8757 0.3748
Sb: 0.8757 0.3748 0.3748
Te: 0.7500 0.7500 0.7500

Results
Formation energy without anion corrections (eV/atom): 0.86
Total magnetic moment (μB per cell): 0.71
DOS at the Fermi energy (states/eV per cell): 5.4

---

Q: Which of these has the highest DOS at the Fermi energy?
A: TaSb4Te

---

Q: Which value of DOS at the Fermi energy does entry 4 give?
A: 5.4 states/eV per cell